The following is a DFT calculation (PBE+U) of crystalline TaNi2TeO at its relaxed geometry.

Unit cell a=3.8521 b=4.9663 c=3.8521 alpha=90.00 beta=90.00 gamma=90.00
Closest atoms and distances in Å follow each position.
Fractional coordinates of all 5 atoms:
Ni (0.0000, 0.0000, 0.5000)  2 O 1.93
Ni (0.5000, 0.0000, 0.0000)  2 O 1.93
Te (0.0000, 0.5000, 0.0000)  2 O 2.48, 4 Ta 2.72
O (0.0000, 0.0000, 0.0000)  4 Ni 1.93
Ta (0.5000, 0.5000, 0.5000)  4 Te 2.72

## Properties
As for the space group: P4/mmm (123). The calculation puts the density of states at the Fermi level at 3.28 states/eV/cell. The energy above the most stable polymorph in this dataset is 0 meV per atom.